Material: La3Co6Si5
Method: DFT, PBE
State: optimized geometry

Lattice parameters (Å, degrees): 3.875 11.837 10.107 90.00 90.00 90.00
Space group Pmmn (No. 59, origin choice 2)
Inequivalent atoms, fractional coordinates:
La  0.250  0.096  0.238
La  0.250  0.750  0.249
Co  0.250  0.051  0.904
Co  0.250  0.250  0.524
Co  0.250  0.250  0.992
Co  0.250  0.578  0.489
Si  0.250  0.073  0.634
Si  0.250  0.624  0.999
Si  0.250  0.750  0.588

Properties
**M_tot**: 0.00 μB per cell
**D(E_F)**: 9.775 states/eV/f.u.
**Formation energy without anion corrections**: -598.0 meV/atom